1.
DFT (PBE) results for crystalline Ge2BiPb2Au7 at its relaxed geometry.

Cell: 4.264 4.264 16.249 Å, 96.75 96.75 90.29°
Atoms (fractional coordinates):
Ge  0.132  0.132  0.238
Ge  0.868  0.868  0.762
Bi  0.500  0.500  0.000
Pb  0.287  0.287  0.579
Pb  0.713  0.713  0.421
Au  0.000  0.000  0.000
Au  0.077  0.586  0.145
Au  0.202  0.202  0.396
Au  0.414  0.923  0.855
Au  0.586  0.077  0.145
Au  0.798  0.798  0.604
Au  0.923  0.414  0.855

Symmetry: C2/m, No. 12
Magnetization: 0.00 μB per atom
Formation energy: 24 meV/atom

2.
DFT (PBE) results for crystalline VAs3C at its relaxed geometry.

Cell: 4.684 4.684 4.684 Å, 90.00 90.00 90.00°
Atoms (fractional coordinates):
V  0.000  0.000  0.000
As  0.000  0.000  0.500
As  0.000  0.500  0.000
As  0.500  0.000  0.000
C  0.500  0.500  0.500

Symmetry: Pm-3m, No. 221
Magnetization: 0.41 μB per atom
Formation energy: 1447 meV/atom

3.
DFT (PBE) results for crystalline Er3ScH8 at its relaxed geometry.

Cell: 5.019 5.019 5.019 Å, 90.00 90.00 90.00°
Atoms (fractional coordinates):
Er  0.000  0.000  0.500
Er  0.000  0.500  0.000
Er  0.500  0.000  0.000
Sc  0.500  0.500  0.500
H  0.258  0.258  0.258
H  0.258  0.258  0.742
H  0.258  0.742  0.258
H  0.258  0.742  0.742
H  0.742  0.258  0.258
H  0.742  0.258  0.742
H  0.742  0.742  0.258
H  0.742  0.742  0.742

Symmetry: Pm-3m, No. 221
Magnetization: 0.00 μB per atom
DFT total energy: -4.611 eV/atom

4.
DFT (PBE) results for crystalline RbMnAsI6 at its relaxed geometry.

Cell: 7.513 7.513 8.324 Å, 90.00 90.00 120.00°
Atoms (fractional coordinates):
Rb  0.000  0.000  0.000
Mn  0.667  0.333  0.500
As  0.333  0.667  0.500
I  0.000  0.371  0.300
I  0.000  0.629  0.700
I  0.371  0.000  0.300
I  0.371  0.371  0.700
I  0.629  0.000  0.700
I  0.629  0.629  0.300

Symmetry: P312, No. 149
Uncorrected formation energy: -0.54 eV/atom
Magnetization: 0.56 μB per atom

5.
DFT (PBE) results for crystalline K2PtAu at its relaxed geometry.

Cell: 5.703 8.664 4.309 Å, 90.00 90.00 90.00°
Atoms (fractional coordinates):
K  0.250  0.250  0.000
K  0.250  0.750  0.000
K  0.750  0.250  0.000
K  0.750  0.750  0.000
Pt  0.000  0.000  0.500
Pt  0.500  0.500  0.500
Au  0.000  0.500  0.500
Au  0.500  0.000  0.500

Symmetry: Cmmm, No. 65
Magnetization: 0.00 μB per atom
Formation energy: -5 meV/atom

6.
DFT (PBE) results for crystalline CePuAgPd at its relaxed geometry.

Cell: 6.898 6.898 6.898 Å, 90.00 90.00 90.00°
Atoms (fractional coordinates):
Ce  0.000  0.000  0.000
Ce  0.000  0.500  0.500
Ce  0.500  0.000  0.500
Ce  0.500  0.500  0.000
Pu  0.250  0.250  0.250
Pu  0.250  0.750  0.750
Pu  0.750  0.250  0.750
Pu  0.750  0.750  0.250
Ag  0.000  0.000  0.500
Ag  0.000  0.500  0.000
Ag  0.500  0.000  0.000
Ag  0.500  0.500  0.500
Pd  0.250  0.250  0.750
Pd  0.250  0.750  0.250
Pd  0.750  0.250  0.250
Pd  0.750  0.750  0.750

Symmetry: F-43m, No. 216
Magnetization: 1.41 μB per atom
Formation energy: -378 meV/atom

7.
DFT (PBE) results for crystalline CuWSe2 at its relaxed geometry.

Cell: 5.704 5.704 10.988 Å, 90.00 90.00 90.00°
Atoms (fractional coordinates):
Cu  0.000  0.000  0.000
Cu  0.000  0.500  0.250
Cu  0.500  0.000  0.750
Cu  0.500  0.500  0.500
W  0.000  0.000  0.500
W  0.000  0.500  0.750
W  0.500  0.000  0.250
W  0.500  0.500  0.000
Se  0.244  0.250  0.125
Se  0.250  0.744  0.375
Se  0.250  0.756  0.875
Se  0.256  0.250  0.625
Se  0.744  0.750  0.625
Se  0.750  0.244  0.875
Se  0.750  0.256  0.375
Se  0.756  0.750  0.125

Symmetry: I-42d, No. 122
Uncorrected formation energy: 0.28 eV/atom
Magnetization: 0.29 μB per atom

> Look up the magnetization of the first one.

0.00 μB per atom

> Look up the magnetization of the second one.

0.41 μB per atom